# GGA-PBE PaTc4B4, relaxed
# **Crystal system**: tetragonal
# **Density of states at the Fermi level**: 1.01 states/eV/atom
# **Mass density**: 9.6 g cm⁻³
# **E_form**: -0.38 eV per atom
# **V**: 12.81 A^3/atom
data_PaTc4B4
_cell_length_a 7.387
_cell_length_b 7.387
_cell_length_c 4.225
_cell_angle_alpha 90.00
_cell_angle_beta 90.00
_cell_angle_gamma 90.00
_space_group_name_H-M_alt 'P 42/n'
_space_group_IT_number 86
loop_
_space_group_symop_operation_xyz
'x,y,z'
'-x,-y,-z'
'-y,x+1/2,z+1/2'
'y,-x+1/2,-z+1/2'
'-x+1/2,-y+1/2,z'
'x+1/2,y+1/2,-z'
'y+1/2,-x,z+1/2'
'-y+1/2,x,-z+1/2'
loop_
_atom_site_label
_atom_site_fract_x
_atom_site_fract_y
_atom_site_fract_z
Pa1 0.250 0.250 0.250
Tc1 0.114 0.630 0.130
B1 0.051 0.921 0.128


# GGA-PBE PaTcB4, relaxed
# **Crystal system**: orthorhombic
# **Density of states at the Fermi level**: 0.43 states/eV/atom
# **Mass density**: 9.8 g cm⁻³
# **E_form**: -0.67 eV per atom
# **V**: 10.54 A^3/atom
data_PaTcB4
_cell_length_a 7.354
_cell_length_b 9.413
_cell_length_c 3.654
_cell_angle_alpha 90.00
_cell_angle_beta 90.00
_cell_angle_gamma 90.00
_space_group_name_H-M_alt 'C m m m'
_space_group_IT_number 65
_space_group_name_Hall '-C 2 2'
loop_
_atom_site_label
_atom_site_fract_x
_atom_site_fract_y
_atom_site_fract_z
Pa1 0.000 0.200 0.000
Tc1 0.187 0.500 0.000
B1 0.000 0.409 0.500
B2 0.122 0.000 0.500
B3 0.222 0.342 0.500